This record from Alexandria describes K3Pr3PuS8 after structural relaxation. The functional is PBE.

a b c (Å): 8.3631 8.3631 22.4304
angles (deg): 90.00 90.00 120.00
With the nearest neighbours (Å) after each atom.
Space group R-3m (No. 166, hexagonal axes)
Symmetry-distinct sites (fractional):
1 K 0.0000 0.5000 0.0000 x9  6 S 3.25-3.27
2 Pr 0.0000 0.5000 0.5000 x9  6 S 2.87-2.88
3 Pu 0.0000 0.0000 0.5000 x3  6 S 2.72
4 S 0.0000 0.0000 0.2362 x6  3 Pr 2.87
5 S 0.0176 0.5088 0.2322 x18  1 Pu 2.72, 2 Pr 2.88

Properties
- DOS at the Fermi energy: 35.05 states/eV/cell
- Total DFT energy (no corrections): -6.08 eV per atom
- Formation energy from raw total energies: -1.744 eV per atom
- Spin magnetization: 0.27 μB/atom
- Density: 3.8 g/cm³